(1)
## MgPS2Cl (PBE)

Data for crystalline MgPS2Cl at its relaxed geometry.

formation energy from raw total energies: 629 meV/atom

```
data_MgPS2Cl
_chemical_formula_sum 'Mg1 P1 S2 Cl1'
_cell_length_a 4.6294
_cell_length_b 4.6294
_cell_length_c 5.3662
_cell_angle_alpha 90.00
_cell_angle_beta 90.00
_cell_angle_gamma 90.00
_symmetry_space_group_name_H-M 'P 4/m m m'
_symmetry_Int_Tables_number 123
_symmetry_space_group_name_Hall '-P 4 2'
loop_
_atom_site_label
_atom_site_type_symbol
_atom_site_fract_x
_atom_site_fract_y
_atom_site_fract_z
Mg1 Mg 0.0000 0.0000 0.0000
P1 P 0.0000 0.0000 0.5000
S1 S 0.0000 0.5000 0.0000
Cl1 Cl 0.5000 0.5000 0.5000
```

=====

(2)
## MgPS2Cl (PBE)

Data for crystalline MgPS2Cl at its relaxed geometry.

formation energy from raw total energies: -92 meV/atom

```
data_MgPS2Cl
_chemical_formula_sum 'Mg1 P1 S2 Cl1'
_cell_length_a 4.6572
_cell_length_b 4.6572
_cell_length_c 4.5926
_cell_angle_alpha 90.00
_cell_angle_beta 90.00
_cell_angle_gamma 90.00
_symmetry_space_group_name_H-M 'P 4/m m m'
_symmetry_Int_Tables_number 123
_symmetry_space_group_name_Hall '-P 4 2'
loop_
_atom_site_label
_atom_site_type_symbol
_atom_site_fract_x
_atom_site_fract_y
_atom_site_fract_z
Mg1 Mg 0.0000 0.0000 0.0000
P1 P 0.5000 0.5000 0.5000
S1 S 0.0000 0.5000 0.5000
Cl1 Cl 0.5000 0.5000 0.0000
```

=====

(3)
## MgSbPCl2 (PBE)

Data for crystalline MgSbPCl2 at its relaxed geometry.

formation energy from raw total energies: 2 meV/atom

```
data_MgSbPCl2
_chemical_formula_sum 'Mg1 Sb1 P1 Cl2'
_cell_length_a 5.1814
_cell_length_b 5.1814
_cell_length_c 5.3464
_cell_angle_alpha 90.00
_cell_angle_beta 90.00
_cell_angle_gamma 90.00
_symmetry_space_group_name_H-M 'P 4/m m m'
_symmetry_Int_Tables_number 123
_symmetry_space_group_name_Hall '-P 4 2'
loop_
_atom_site_label
_atom_site_type_symbol
_atom_site_fract_x
_atom_site_fract_y
_atom_site_fract_z
Mg1 Mg 0.0000 0.0000 0.0000
Sb1 Sb 0.5000 0.5000 0.5000
P1 P 0.5000 0.5000 0.0000
Cl1 Cl 0.0000 0.5000 0.5000
```